No. 1
A plane-wave DFT calculation with PBE was carried out for AlFe3S after structural relaxation.

Properties
Total energy ... -32.625 eV per formula unit
ρ ... 5.404 g cm⁻³
Space group ... No. 221

Structure (POSCAR):
```
AlFe3S
1.0
4.114 0.000 0.000
0.000 4.114 0.000
0.000 0.000 4.114
Fe S Al
3 1 1
Cartesian
2.057 0.000 0.000
0.000 2.057 0.000
0.000 0.000 2.057
0.000 0.000 0.000
2.057 2.057 2.057
```



No. 2
A plane-wave DFT calculation with PBE was carried out for Al2FeS4 after structural relaxation.

Properties
Total energy ... -37.703 eV per formula unit
ρ ... 2.850 g cm⁻³
Space group ... No. 160

Structure (POSCAR):
```
Al2FeS4
1.0
-1.012 9.446 -8.126
-4.497 8.540 -7.946
-3.091 10.790 -5.505
Al S Fe
2 4 1
Cartesian
-2.562 8.572 -6.427
-4.583 15.334 -11.498
-3.591 12.015 -9.009
-1.494 4.999 -3.749
-8.570 28.676 -21.501
-5.103 17.074 -12.802
-0.524 1.754 -1.315
```



No. 3
A plane-wave DFT calculation with PBE was carried out for AlFe3S after structural relaxation.

Properties
Total energy ... -27.265 eV per formula unit
ρ ... 4.422 g cm⁻³
Space group ... No. 221

Structure (POSCAR):
```
AlFe3S
1.0
4.398 0.000 0.000
0.000 4.398 0.000
0.000 0.000 4.398
S Fe Al
1 3 1
Cartesian
2.199 2.199 2.199
2.199 0.000 0.000
0.000 2.199 0.000
0.000 0.000 2.199
0.000 0.000 0.000
```



No. 4
A plane-wave DFT calculation with PBE was carried out for Al2FeS2 after structural relaxation.

Properties
Total energy ... -23.993 eV per formula unit
ρ ... 3.274 g cm⁻³
Space group ... No. 139

Structure (POSCAR):
```
Al2FeS2
1.0
-3.641 -2.857 1.059
2.865 -3.772 -0.323
0.466 -2.991 4.174
Al S Fe
2 2 1
Cartesian
-0.115 -3.211 1.585
-0.195 -6.409 3.324
1.471 -5.039 2.109
-1.782 -4.581 2.800
0.000 0.000 0.000
```



No. 5
A plane-wave DFT calculation with PBE was carried out for AlFeS after structural relaxation.

Properties
Total energy ... -16.783 eV per formula unit
ρ ... 4.330 g cm⁻³
Space group ... No. 187

Structure (POSCAR):
```
AlFeS
1.0
3.213 0.000 0.000
-1.606 2.782 0.000
0.000 0.000 9.859
Fe Al S
2 2 2
Cartesian
1.606 1.546 3.165
1.606 1.546 6.694
0.000 2.473 0.000
0.000 2.473 4.930
0.000 0.618 8.199
0.000 0.618 1.660
```



No. 6
A plane-wave DFT calculation with PBE was carried out for AlFe2S4 after structural relaxation.

Properties
Total energy ... -40.490 eV per formula unit
ρ ... 3.818 g cm⁻³
Space group ... No. 74

Structure (POSCAR):
```
AlFe2S4
1.0
-3.473 3.498 4.778
3.473 -3.498 4.778
3.473 3.498 -4.778
S Fe Al
8 4 2
Cartesian
1.781 -1.749 4.857
0.000 3.278 2.367
1.692 5.247 -0.079
3.473 0.220 2.410
3.473 3.278 2.410
0.000 0.220 2.367
1.781 1.749 4.698
1.692 1.749 0.079
-1.737 1.749 2.389
0.000 0.000 4.778
3.473 0.000 0.000
1.737 1.749 2.389
0.000 0.000 0.000
0.000 3.498 0.000
```



No. 7
A plane-wave DFT calculation with PBE was carried out for Tb3AlFeS7 after structural relaxation.

Properties
Total energy ... -73.719 eV per formula unit
ρ ... 5.230 g cm⁻³
Space group ... No. 173

Structure (POSCAR):
```
Tb3AlFeS7
1.0
4.829 -8.364 0.000
4.829 8.364 0.000
0.000 0.000 6.164
S Tb Fe Al
14 6 2 2
Cartesian
1.794 0.849 1.847
4.584 -0.759 2.954
1.632 -1.129 4.929
2.950 3.590 6.035
4.991 -6.386 4.929
8.025 1.129 1.847
3.194 -4.014 2.954
4.667 6.386 1.847
6.463 4.014 6.035
4.829 -2.788 6.147
6.708 -3.590 2.954
7.863 -0.849 4.929
5.073 0.759 6.035
4.829 2.788 3.065
7.093 1.872 4.370
2.565 -1.872 1.289
5.168 -5.206 1.289
4.489 5.206 4.370
2.904 1.285 4.370
6.754 -1.285 1.289
0.000 0.000 0.222
0.000 0.000 3.304
4.829 2.788 0.823
4.829 -2.788 3.905
```



No. 8
A plane-wave DFT calculation with PBE was carried out for Al2FeTcS after structural relaxation.

Properties
Total energy ... -27.863 eV per formula unit
ρ ... 4.574 g cm⁻³
Space group ... No. 123

Structure (POSCAR):
```
Al2FeTcS
1.0
4.488 0.000 0.000
0.000 4.323 0.000
0.000 0.000 4.488
Tc Al Fe S
1 2 1 1
Cartesian
0.000 2.162 0.000
0.000 0.000 2.244
2.244 0.000 0.000
0.000 0.000 0.000
2.244 2.162 2.244
```